(1)
Entry from the Alexandria database: crystalline HfHI3 at its relaxed geometry (PBE).

Properties
Final energy = -17.97 eV per formula unit
Volume = 185.0 Å³/cell
Symmetry = No. 221
ΔE to the lowest computed polymorph = 0.1565 eV per atom
Crystal system = cubic
Calculated density = 5.03 Mg/m³

abc: 5.698 5.698 5.698
angles: 90.00 90.00 90.00
Each line ends with the local moment (μB).
Positions (direct):
I 0.000 0.500 0.000  0.01
I 0.000 0.000 0.500  0.01
I 0.500 0.000 0.000  0.00
H 0.500 0.500 0.500  0.38
Hf 0.000 0.000 0.000  0.01


(2)
Entry from the Alexandria database: crystalline AcTmHg3 at its relaxed geometry (PBE).

Properties
Final energy = -11.68 eV per formula unit
Volume = 278.9 Å³/cell
Symmetry = No. 63
Crystal system = orthorhombic
ΔH_f (0 K) = -0.44 eV/atom
Calculated density = 11.88 Mg/m³

abc: 3.778 5.003 14.876
angles: 90.00 97.29 90.00
Positions (direct):
Ac 0.922 0.750 0.844
Ac 0.078 0.250 0.156
Tm 0.210 0.750 0.420
Tm 0.790 0.250 0.580
Hg 0.627 0.750 0.254
Hg 0.373 0.250 0.746
Hg 0.525 0.750 0.051
Hg 0.475 0.250 0.949
Hg 0.688 0.250 0.376
Hg 0.312 0.750 0.624